--- one ---
Entry from Alexandria via LeMat-Bulk: an optimized crystal structure of LiLaMg2 (PBE-GGA).

```
4
Lattice="3.516 0.000 0.000 0.000 3.515 0.000 0.000 0.000 8.283" Properties=species:S:1:pos:R:3 pbc="T T T"
Li 1.758 1.757 6.595
Mg 1.758 1.757 1.770
Mg 0.000 0.000 8.130
La 0.000 0.000 4.212
```

--- two ---
Entry from Alexandria via LeMat-Bulk: an optimized crystal structure of LiLaMg2 (PBE-GGA).

```
4
Lattice="3.405 0.088 0.042 1.779 2.905 0.042 1.865 1.077 10.794" Properties=species:S:1:pos:R:3 pbc="T T T"
Mg 1.798 1.038 8.370
Mg 1.843 1.064 2.456
Li 5.360 3.095 10.842
La 3.437 1.984 5.443
```

--- three ---
Entry from Alexandria via LeMat-Bulk: an optimized crystal structure of LiLaMg2 (PBE-GGA).

```
4
Lattice="0.000 3.756 3.756 3.756 0.000 3.756 3.756 3.756 0.000" Properties=species:S:1:pos:R:3 pbc="T T T"
Li 0.000 0.000 0.000
La 3.756 3.756 3.756
Mg 5.634 5.634 5.634
Mg 1.878 1.878 1.878
```

--- four ---
Entry from Alexandria via LeMat-Bulk: an optimized crystal structure of LiLaMg2 (PBE-GGA).

```
4
Lattice="-0.607 -3.388 -0.814 3.475 -0.525 -0.404 0.618 -2.018 7.945" Properties=species:S:1:pos:R:3 pbc="T T T"
La 1.588 -2.461 1.378
Mg 0.339 -1.108 4.363
Mg 0.588 -1.919 7.554
Li 1.897 -3.470 5.350
```

Q: Which of them is the most stable? A: four.